# Ta2TlPdC | the Alexandria database | PBE | relaxed
data_Ta2TlPdC
_symmetry_space_group_name_H-M 'P 4/m m m'
_symmetry_Int_Tables_number 123
_symmetry_space_group_name_Hall '-P 4 2'
_cell_length_a 4.8735
_cell_length_b 4.8735
_cell_length_c 4.9966
_cell_angle_alpha 90.00
_cell_angle_beta 90.00
_cell_angle_gamma 90.00
loop_
_atom_site_label
_atom_site_type_symbol
_atom_site_fract_x
_atom_site_fract_y
_atom_site_fract_z
_atom_site_occupancy
Ta1 Ta 0.0000 0.5000 0.0000 1
Tl1 Tl 0.0000 0.0000 0.5000 1
Pd1 Pd 0.0000 0.0000 0.0000 1
C1 C 0.5000 0.5000 0.5000 1
# Calculated volume = 23.7 A^3/atom

***

# TaVPdC2 | the Alexandria database | PBE | relaxed
data_TaVPdC2
_symmetry_space_group_name_H-M 'P 4/m m m'
_symmetry_Int_Tables_number 123
_symmetry_space_group_name_Hall '-P 4 2'
_cell_length_a 3.8921
_cell_length_b 3.8921
_cell_length_c 4.8738
_cell_angle_alpha 90.00
_cell_angle_beta 90.00
_cell_angle_gamma 90.00
loop_
_atom_site_label
_atom_site_type_symbol
_atom_site_fract_x
_atom_site_fract_y
_atom_site_fract_z
_atom_site_occupancy
Ta1 Ta 0.0000 0.0000 0.0000 1
V1 V 0.0000 0.0000 0.5000 1
Pd1 Pd 0.5000 0.5000 0.0000 1
C1 C 0.0000 0.5000 0.5000 1
# Calculated volume = 14.8 A^3/atom

***

# TaVPd2C | the Alexandria database | PBE | relaxed
data_TaVPd2C
_symmetry_space_group_name_H-M 'P 4/m m m'
_symmetry_Int_Tables_number 123
_symmetry_space_group_name_Hall '-P 4 2'
_cell_length_a 4.6484
_cell_length_b 4.6484
_cell_length_c 3.7548
_cell_angle_alpha 90.00
_cell_angle_beta 90.00
_cell_angle_gamma 90.00
loop_
_atom_site_label
_atom_site_type_symbol
_atom_site_fract_x
_atom_site_fract_y
_atom_site_fract_z
_atom_site_occupancy
Ta1 Ta 0.0000 0.0000 0.0000 1
V1 V 0.5000 0.5000 0.5000 1
Pd1 Pd 0.0000 0.5000 0.5000 1
C1 C 0.5000 0.5000 0.0000 1
# Calculated volume = 16.2 A^3/atom
# Energy above the lowest structure with this stoichiometry = 903 meV/atom

***

ΔH_f (0 K) in eV/atom, matching the order above: 2.492; 1.602; 1.133